[1]
Entry from OQMD via LeMat-Bulk: crystalline SmBeGa at its relaxed geometry (GGA-PBE).

Values from the calculation:
Its energy relative to the lowest polymorph listed for this composition is 0.2106 eV per atom. Its symmetry is F-43m (216).

abc: 6.379 6.379 6.379
angles: 90.00 90.00 90.00
Sites, in units of the cell vectors:
Sm  0.000  0.000  0.000
Sm  0.000  0.500  0.500
Sm  0.500  0.000  0.500
Sm  0.500  0.500  0.000
Be  0.000  0.000  0.500
Be  0.000  0.500  0.000
Be  0.500  0.000  0.000
Be  0.500  0.500  0.500
Ga  0.250  0.250  0.750
Ga  0.250  0.750  0.250
Ga  0.750  0.250  0.250
Ga  0.750  0.750  0.750



[2]
Entry from OQMD via LeMat-Bulk: crystalline HoZr3C2S2 at its relaxed geometry (GGA-PBE).

Values from the calculation:
Its raw total energy is -67.376 eV for the cell shown. Its symmetry is P3m1 (156).

abc: 3.478 3.478 12.437
angles: 90.00 90.00 120.00
Sites, in units of the cell vectors:
Ho  0.000  0.000  0.000
Zr  0.000  0.000  0.699
Zr  0.333  0.667  0.209
Zr  0.333  0.667  0.502
C  0.667  0.333  0.114
C  0.667  0.333  0.601
S  0.000  0.000  0.356
S  0.333  0.667  0.842



[3]
Entry from OQMD via LeMat-Bulk: crystalline Ag2N3 at its relaxed geometry (GGA-PBE).

Values from the calculation:
Its raw total energy is -41.203 eV for the cell shown. Its symmetry is R-3c (167).

abc: 5.686 5.686 5.686
angles: 57.01 57.01 57.01
Sites, in units of the cell vectors:
Ag  0.147  0.147  0.147
Ag  0.353  0.353  0.353
Ag  0.647  0.647  0.647
Ag  0.853  0.853  0.853
N  0.044  0.750  0.456
N  0.250  0.544  0.956
N  0.456  0.044  0.750
N  0.544  0.956  0.250
N  0.750  0.456  0.044
N  0.956  0.250  0.544



[4]
Entry from OQMD via LeMat-Bulk: crystalline PrTlPd4 at its relaxed geometry (GGA-PBE).

Values from the calculation:
Its raw total energy is -31.425 eV for the cell shown. Its symmetry is F-43m (216).

abc: 5.461 5.461 5.461
angles: 60.00 60.00 60.00
Sites, in units of the cell vectors:
Pr  0.000  0.000  0.000
Tl  0.750  0.750  0.750
Pd  0.375  0.375  0.375
Pd  0.375  0.375  0.874
Pd  0.375  0.874  0.375
Pd  0.874  0.375  0.375



What did the second record say?
Entry from OQMD via LeMat-Bulk: crystalline HoZr3C2S2 at its relaxed geometry (GGA-PBE).

Values from the calculation:
Its raw total energy is -67.376 eV for the cell shown. Its symmetry is P3m1 (156).

abc: 3.478 3.478 12.437
angles: 90.00 90.00 120.00
Sites, in units of the cell vectors:
Ho  0.000  0.000  0.000
Zr  0.000  0.000  0.699
Zr  0.333  0.667  0.209
Zr  0.333  0.667  0.502
C  0.667  0.333  0.114
C  0.667  0.333  0.601
S  0.000  0.000  0.356
S  0.333  0.667  0.842



Which formula does entry 3 have? Ag2N3